TcSnNO | PBE | relaxed

Unit cell a=4.9724 b=6.0483 c=7.4651 alpha=90.00 beta=90.00 gamma=90.00
Positions (direct):
Sn: 0.9169 0.5806 0.6413
Sn: 0.4169 0.9194 0.6413
Sn: 0.9169 0.0806 0.3587
Sn: 0.4169 0.4194 0.3587
O: 0.7230 0.6626 0.1391
O: 0.7230 0.1626 0.8609
O: 0.2230 0.3374 0.8609
O: 0.2230 0.8374 0.1391
N: 0.5099 0.0925 0.4143
N: 0.0099 0.4075 0.4143
N: 0.0099 0.9075 0.5857
N: 0.5099 0.5925 0.5857
Tc: 0.0526 0.0909 0.0039
Tc: 0.5526 0.9091 0.9961
Tc: 0.5526 0.4091 0.0039
Tc: 0.0526 0.5909 0.9961

Summary:
Space group: Pca2_1
Energy in eV/cell: -112.1